VASP calculation (PBE) on a relaxed SiSbSe2N crystal.

a = 5.1960 Å, b = 5.1960 Å, c = 3.3852 Å
α = 90.00°, β = 90.00°, γ = 90.00°
Positions (direct):
N: 0.0000 0.0000 0.5000
Se: 0.5000 0.0000 0.0000
Se: 0.0000 0.5000 0.0000
Sb: 0.5000 0.5000 0.5000
Si: 0.0000 0.0000 0.0000

Results
Calculated density in g/cm3: 5.846
Space group: No. 123
ΔE_f (raw) in eV/atom: 0.18
Energy relative to the lowest polymorph listed for this composition in meV per atom: 0
Total energy in eV per atom: -4.7882